No. 1
# PBE-GGA LaSiBPt6, optimized geometry
data_LaSiBPt6
_chemical_formula_sum 'La4 Si4 B4 Pt24'
_cell_length_a 7.352
_cell_length_b 8.108
_cell_length_c 11.139
_cell_angle_alpha 90.00
_cell_angle_beta 90.00
_cell_angle_gamma 90.00
_symmetry_space_group_name_H-M 'I m m a'
_symmetry_Int_Tables_number 74
_symmetry_space_group_name_Hall '-I 2b 2'
loop_
_atom_site_label
_atom_site_fract_x
_atom_site_fract_y
_atom_site_fract_z
La1 0.000 0.250 0.168
Si1 0.250 0.250 0.750
B1 0.000 0.000 0.500
Pt1 0.000 0.250 0.437
Pt2 0.000 0.250 0.881
Pt3 0.219 0.020 0.623
# Calculated total energy   -0.4803 Ry/atom
# Volume   664.0 Å³ per cell


No. 2
# PBE-GGA La3SiB2Pt9, optimized geometry
data_La3SiB2Pt9
_chemical_formula_sum 'La3 Si1 B2 Pt9'
_cell_length_a 5.8689
_cell_length_b 5.8689
_cell_length_c 9.1577
_cell_angle_alpha 90.00
_cell_angle_beta 90.00
_cell_angle_gamma 120.00
_symmetry_space_group_name_H-M 'P -3 m 1'
_symmetry_Int_Tables_number 164
_symmetry_space_group_name_Hall '-P 3 2"'
loop_
_atom_site_label
_atom_site_fract_x
_atom_site_fract_y
_atom_site_fract_z
La1 0.0000 0.0000 0.0000
La2 0.3333 0.6667 0.6163
Si1 0.0000 0.0000 0.5000
B1 0.3333 0.6667 0.1514
Pt1 0.0000 0.5000 0.0000
Pt2 0.1651 0.3302 0.2951
# Calculated total energy   -0.4937 Ry/atom
# Volume   273.2 Å³ per cell


No. 3
# PBE-GGA La2SnBPt6, optimized geometry
data_La2SnBPt6
_chemical_formula_sum 'La4 Sn2 B2 Pt12'
_cell_length_a 10.095
_cell_length_b 5.830
_cell_length_c 7.535
_cell_angle_alpha 90.00
_cell_angle_beta 116.55
_cell_angle_gamma 90.00
_symmetry_space_group_name_H-M 'C 1 2/m 1'
_symmetry_Int_Tables_number 12
loop_
_symmetry_equiv_pos_as_xyz
'x,y,z'
'-x,-y,-z'
'-x,y,-z'
'x,-y,z'
'x+1/2,y+1/2,z'
'-x+1/2,-y+1/2,-z'
'-x+1/2,y+1/2,-z'
'x+1/2,-y+1/2,z'
loop_
_atom_site_label
_atom_site_fract_x
_atom_site_fract_y
_atom_site_fract_z
La1 0.224 0.000 0.174
Sn1 0.000 0.500 0.000
B1 0.000 0.000 0.500
Pt1 0.024 0.255 0.317
Pt2 0.231 0.000 0.682
# ΔE_f   -8.6 eV/f.u.
# Volume   396.7 Å³ per cell


No. 4
# PBE-GGA LaTlBPt4, optimized geometry
data_LaTlBPt4
_chemical_formula_sum 'La4 Tl4 B4 Pt16'
_cell_length_a 10.248
_cell_length_b 10.248
_cell_length_c 10.248
_cell_angle_alpha 90.00
_cell_angle_beta 90.00
_cell_angle_gamma 90.00
_symmetry_space_group_name_H-M 'F -4 3 m'
_symmetry_Int_Tables_number 216
_symmetry_space_group_name_Hall 'F -4 2 3'
loop_
_atom_site_label
_atom_site_fract_x
_atom_site_fract_y
_atom_site_fract_z
La1 0.000 0.000 0.000
Tl1 0.250 0.250 0.750
B1 0.000 0.000 0.500
Pt1 0.107 0.107 0.607
# ΔE_f   6.5 eV/f.u.
# Volume   1076.2 Å³ per cell


No. 5
# PBE-GGA LaTl2BPt, optimized geometry
data_LaTl2BPt
_chemical_formula_sum 'La1 Tl2 B1 Pt1'
_cell_length_a 5.228
_cell_length_b 5.228
_cell_length_c 4.218
_cell_angle_alpha 90.00
_cell_angle_beta 90.00
_cell_angle_gamma 90.00
_symmetry_space_group_name_H-M 'P 4/m m m'
_symmetry_Int_Tables_number 123
_symmetry_space_group_name_Hall '-P 4 2'
loop_
_atom_site_label
_atom_site_fract_x
_atom_site_fract_y
_atom_site_fract_z
La1 0.000 0.000 0.000
Tl1 0.000 0.500 0.500
B1 0.500 0.500 0.500
Pt1 0.500 0.500 0.000
# ΔE_f   0.0 eV/f.u.
# Volume   115.3 Å³ per cell


No. 6
# PBE-GGA La2YB3Pt12, optimized geometry
data_La2YB3Pt12
_chemical_formula_sum 'La6 Y3 B9 Pt36'
_cell_length_a 8.0778
_cell_length_b 8.0778
_cell_length_c 17.5555
_cell_angle_alpha 90.00
_cell_angle_beta 90.00
_cell_angle_gamma 120.00
_symmetry_space_group_name_H-M 'R -3 m'
_symmetry_Int_Tables_number 166
_symmetry_space_group_name_Hall '-R 3 2"'
loop_
_atom_site_label
_atom_site_fract_x
_atom_site_fract_y
_atom_site_fract_z
La1 0.0000 0.0000 0.0982
Y1 0.0000 0.0000 0.5000
B1 0.0000 0.5000 0.0000
Pt1 0.0319 0.5160 0.8781
Pt2 0.0629 0.5314 0.3480
# ΔE_f   -8.8 eV/f.u.
# Volume   992.0 Å³ per cell


Number 5 is which compound? LaTl2BPt